Compound: CsBrCl3
Source: Alexandria
Functional: PBE
Structure: optimized geometry

Unit cell a=5.770 b=5.770 c=5.770 alpha=81.71 beta=81.71 gamma=81.71
Fractional coordinates of all 5 atoms:
Cs (0.285, 0.285, 0.285)
Br (0.895, 0.895, 0.895)
Cl (0.702, 0.292, 0.702)
Cl (0.292, 0.702, 0.702)
Cl (0.702, 0.702, 0.292)

Raw formation energy   -0.621 eV per atom
Total DFT energy (no corrections)   -2.234 eV/atom